First-principles (PBE-GGA) data for GdBe3Ni after structural relaxation, as listed in the Alexandria database.

VASP energy: -6.305 eV per atom
formation energy: -2.24 kcal/mol of atoms

Lattice parameters (Å, degrees): 4.1071 4.1071 4.1071 90.00 90.00 90.00
Element x y z (fractional)
Gd 0.0000 0.0000 0.0000
Be 0.0000 0.5000 0.5000
Be 0.5000 0.0000 0.5000
Be 0.5000 0.5000 0.0000
Ni 0.5000 0.5000 0.5000

First-principles (PBE-GGA) data for Na2VNi2S4 after structural relaxation, as listed in the Alexandria database.

VASP energy: -5.194 eV per atom
uncorrected formation energy: -769 meV/atom

Lattice parameters (Å, degrees): 6.7521 6.7521 6.9440 108.91 108.91 30.28
Element x y z (fractional)
Na 0.1330 0.1330 0.0602
Na 0.8670 0.8670 0.9398
V 0.0000 0.0000 0.5000
Ni 0.3265 0.3265 0.5152
Ni 0.6735 0.6735 0.4848
S 0.1992 0.1992 0.6870
S 0.4910 0.4910 0.7406
S 0.5090 0.5090 0.2594
S 0.8008 0.8008 0.3130

First-principles (PBE-GGA) data for Na3ThTe4 after structural relaxation, as listed in the Alexandria database.

VASP energy: -3.927 eV per atom
uncorrected formation energy: -934 meV/atom

Lattice parameters (Å, degrees): 7.8313 7.8313 4.6962 90.00 90.00 111.67
Element x y z (fractional)
Na 0.0000 0.0000 0.0000
Na 0.0000 0.5000 0.5000
Na 0.5000 0.0000 0.5000
Th 0.5000 0.5000 0.0000
Te 0.2593 0.7407 0.0000
Te 0.2595 0.2595 0.5000
Te 0.7405 0.7405 0.5000
Te 0.7407 0.2593 0.0000

First-principles (PBE-GGA) data for LaZr2Br2 after structural relaxation, as listed in the Alexandria database.

VASP energy: -5.301 eV per atom
uncorrected formation energy: -227 meV/atom

Lattice parameters (Å, degrees): 6.0166 6.0166 6.0166 128.45 128.45 75.89
Element x y z (fractional)
La 0.0000 0.0000 0.0000
Zr 0.3637 0.3637 0.0000
Zr 0.6363 0.6363 0.0000
Br 0.2500 0.7500 0.5000
Br 0.7500 0.2500 0.5000

First-principles (PBE-GGA) data for LiHI2F after structural relaxation, as listed in the Alexandria database.

VASP energy: -2.035 eV per atom

Lattice parameters (Å, degrees): 5.5059 5.5059 3.2979 90.00 90.00 90.00
Element x y z (fractional)
Li 0.0000 0.0000 0.0000
H 0.0000 0.0000 0.5000
I 0.0000 0.5000 0.0000
I 0.5000 0.0000 0.0000
F 0.5000 0.5000 0.5000

First-principles (PBE-GGA) data for Er2Sc3Al2 after structural relaxation, as listed in the Alexandria database.

VASP energy: -5.329 eV per atom
formation energy: -5.60 kcal/mol of atoms

Lattice parameters (Å, degrees): 14.5682 14.5682 14.5682 166.76 166.71 18.80
Element x y z (fractional)
Er 0.2055 0.2055 0.0000
Er 0.7945 0.7945 0.0000
Sc 0.3786 0.3786 0.0000
Sc 0.5000 0.5000 0.0000
Sc 0.6214 0.6214 0.0000
Al 0.0609 0.0609 0.0000
Al 0.9391 0.9391 0.0000

First-principles (PBE-GGA) data for LiAc2As4Pt3 after structural relaxation, as listed in the Alexandria database.

VASP energy: -5.675 eV per atom
formation energy: -22.82 kcal/mol of atoms

Lattice parameters (Å, degrees): 4.5362 4.5362 10.1487 90.00 90.00 90.00
Element x y z (fractional)
Li 0.0000 0.0000 0.0000
Ac 0.0000 0.5000 0.7500
Ac 0.5000 0.0000 0.2500
As 0.0000 0.0000 0.5000
As 0.0000 0.5000 0.1314
As 0.5000 0.0000 0.8686
As 0.5000 0.5000 0.5000
Pt 0.0000 0.5000 0.3857
Pt 0.5000 0.0000 0.6143
Pt 0.5000 0.5000 0.0000

First-principles (PBE-GGA) data for NdHo2Er7 after structural relaxation, as listed in the Alexandria database.

VASP energy: -3.876 eV per atom
formation energy: 16.39 kcal/mol of atoms

Lattice parameters (Å, degrees): 9.1341 9.1341 5.5518 90.00 90.00 123.28
Element x y z (fractional)
Nd 0.0000 0.0000 0.0000
Ho 0.2969 0.7031 0.5000
Ho 0.7031 0.2969 0.5000
Er 0.0616 0.2914 0.5000
Er 0.2142 0.7858 0.0000
Er 0.2914 0.0616 0.5000
Er 0.5000 0.5000 0.5000
Er 0.7086 0.9384 0.5000
Er 0.7858 0.2142 0.0000
Er 0.9384 0.7086 0.5000